Entry from Alexandria via LeMat-Bulk: a relaxed Hf3ZrTe crystal (GGA-PBE).

The structure in POSCAR format:
```
Hf3ZrTe
1.0
5.7899 0.1683 0.1933
-0.3753 9.1700 0.7081
-0.3753 -0.5582 9.1804
Hf Te Zr
12 4 4
Cartesian
0.0717 5.8667 5.6014 Hf
4.9677 2.9134 4.4804 Hf
4.7536 8.8622 6.8076 Hf
1.8447 7.5117 7.5084 Hf
3.1947 1.2684 2.5734 Hf
2.9667 4.8266 6.6771 Hf
2.0727 3.9535 3.4046 Hf
4.7397 6.4896 8.5685 Hf
1.8586 5.4416 9.6167 Hf
0.2997 2.2906 1.5132 Hf
3.1808 3.3386 0.4651 Hf
0.2858 -0.0821 3.2741 Hf
1.0722 6.6729 2.9678 Te
1.0722 0.4748 8.3657 Te
3.9672 2.1072 7.1140 Te
3.9672 8.3054 1.7160 Te
3.0523 7.4459 4.7960 Zr
4.8821 5.1365 2.1443 Zr
1.9871 1.3343 5.2857 Zr
0.1573 3.6436 7.9374 Zr
```

Formation energy from raw total energies   -0.07 eV per atom
Space-group type   C2/c (15)
Total moment   0.000 μB per atom
Energy above the most stable polymorph in this dataset   0.0 meV per atom